Entry 1:
Compound: Hg3POs
Source: Alexandria
Functional: PBE-GGA
Structure: optimized geometry

abc: 5.030 5.030 5.030
angles: 90.00 90.00 90.00
Sites, in units of the cell vectors:
Hg: 0.000 0.000 0.500
Hg: 0.000 0.500 0.000
Hg: 0.500 0.000 0.000
P: 0.000 0.000 0.000
Os: 0.500 0.500 0.500

## Properties
The polymorph energy (0 for the lowest one) comes out at 0.185 eV/atom. The density of states at the Fermi level is 4.85 states/eV/f.u. As for the calculated formation energy: 1.461 eV per atom. The electronic total energy comes out at -2.048 eV/atom. As for the crystal system: cubic. The value obtained for the theoretical density is 10.74 Mg/m³.

Entry 2:
Compound: HgPOs3
Source: Alexandria
Functional: PBE-GGA
Structure: optimized geometry

abc: 4.405 4.405 4.405
angles: 90.00 90.00 90.00
Sites, in units of the cell vectors:
Hg: 0.000 0.000 0.000
P: 0.500 0.500 0.500
Os: 0.000 0.500 0.500
Os: 0.500 0.000 0.500
Os: 0.500 0.500 0.000

## Properties
The polymorph energy (0 for the lowest one) comes out at 0.000 eV/atom. The density of states at the Fermi level is 6.38 states/eV/f.u. As for the calculated formation energy: 1.006 eV per atom. The electronic total energy comes out at -6.874 eV/atom. As for the crystal system: cubic. The value obtained for the theoretical density is 15.59 Mg/m³.